KPu2CuO8 (GGA-PBE, relaxed); E = -8.066 eV per atom; Fermi-level density of states = 4.11 states/eV per cell; symmetry = P-1 (2)
1.0
5.156 0.358 0.125
0.431 5.148 0.124
0.193 0.188 7.034
K Pu Cu O
1 2 1 8
direct
0.000 0.000 0.500
0.495 0.495 0.762
0.505 0.505 0.238
0.000 0.000 0.000
0.214 0.779 0.210
0.664 0.665 0.014
0.780 0.215 0.209
0.786 0.221 0.790
0.336 0.335 0.986
0.220 0.785 0.791
0.654 0.656 0.540
0.346 0.344 0.460